DFT (PBE-GGA) results for a relaxed structure of AlCdO2.

Geometry as POSCAR:
```
AlCdO2
1.0
1.676 0.000 6.490
-0.838 1.452 6.490
-0.838 -1.452 6.490
Al O Cd
1 2 1
Direct
0.500 0.500 0.500
0.883 0.883 0.883
0.117 0.117 0.117
0.000 0.000 0.000
```

Output
N(E_F) in states/eV/f.u.: 2.5
Energy relative to the lowest polymorph listed for this composition in meV/atom: 23.5
M_tot in μB/f.u.: 0.0
Formation energy from raw total energies in kJ/mol of atoms: -189.4